# 1
20
Lattice="5.471 0.000 0.000 0.000 5.902 0.000 -5.471 0.000 8.141" Properties=species:S:1:pos:R:3 comment="PBE-GGA Li2TbNpO6, optimized geometry" dft_energy_ev_per_fu=-77.9 raw_formation_energy_mev_per_atom=-2672 total_magnetization_mub_per_fu=0.00 volume_a3_per_atom=13.14 sg="P2_1/c, No. 14" pbc="T T T"
Li -0.042 0.333 2.032
Li -2.778 2.618 6.103
Li 2.778 3.284 2.038
Li 0.042 5.569 6.109
Tb -2.736 0.000 4.071
Tb 0.000 2.951 0.000
Np 2.735 0.000 0.000
Np 0.000 2.951 4.071
O -0.736 3.079 2.170
O -3.471 5.774 6.241
O 1.072 1.007 0.561
O -1.664 1.944 4.631
O 1.871 4.146 0.505
O -0.864 4.708 4.576
O 0.864 1.194 3.565
O -1.872 1.757 7.636
O 1.663 3.958 3.510
O -1.072 4.895 7.580
O 3.471 0.128 1.901
O 0.735 2.823 5.971



# 2
12
Lattice="4.765 0.000 0.000 0.000 6.363 0.000 -0.201 0.000 4.769" Properties=species:S:1:pos:R:3 comment="PBE-GGA Li2NpTcO8, optimized geometry" dft_energy_ev_per_fu=-89.4 raw_formation_energy_mev_per_atom=-1881 total_magnetization_mub_per_fu=0.00 volume_a3_per_atom=12.05 sg="P2/m, No. 10" pbc="T T T"
Li 0.000 1.425 0.000
Li 0.000 4.938 0.000
Np 2.282 3.181 2.384
Tc 2.282 0.000 2.384
O 1.011 3.181 1.048
O 1.033 0.000 1.072
O 1.361 1.485 3.260
O 1.361 4.878 3.260
O 3.203 1.485 1.509
O 3.203 4.878 1.509
O 3.530 0.000 3.697
O 3.553 3.181 3.721



# 3
20
Lattice="5.228 -4.179 0.000 5.228 4.179 0.000 -0.072 0.000 5.027" Properties=species:S:1:pos:R:3 comment="PBE-GGA Li2NpTcO6, optimized geometry" dft_energy_ev_per_fu=-77.6 raw_formation_energy_mev_per_atom=-2071 total_magnetization_mub_per_fu=1.92 volume_a3_per_atom=10.98 sg="C2/c, No. 15" pbc="T T T"
Li 2.437 0.959 1.581
Li 2.401 -0.959 4.094
Li 7.983 0.959 0.933
Li 7.948 -0.959 3.446
Np 5.210 2.955 1.257
Np 5.174 -2.955 3.770
Tc 5.174 0.614 3.770
Tc 5.210 -0.614 1.257
O 1.220 0.304 0.164
O 1.184 -0.304 2.677
O 4.020 1.834 2.844
O 4.107 0.914 0.418
O 6.328 1.834 4.697
O 6.313 0.914 2.095
O 4.071 -0.914 2.932
O 4.056 -1.834 0.330
O 6.277 -0.914 4.608
O 6.364 -1.834 2.183
O 9.200 0.304 2.350
O 9.164 -0.304 4.863



# 4
8
Lattice="4.084 0.000 0.000 0.000 4.084 0.000 0.000 0.000 9.525" Properties=species:S:1:pos:R:3 comment="PBE-GGA LiNpTeO, optimized geometry" dft_energy_ev_per_fu=-29.9 raw_formation_energy_mev_per_atom=-1743 total_magnetization_mub_per_fu=4.00 volume_a3_per_atom=19.86 sg="P4/nmm, No. 129" pbc="T T T"
Li 1.021 3.063 0.000
Li 3.063 1.021 0.000
Np 1.021 1.021 3.641
Np 3.063 3.063 5.884
Te 1.021 1.021 7.697
Te 3.063 3.063 1.828
O 1.021 3.063 4.762
O 3.063 1.021 4.762